Computed, not measured: crystalline CrGe2RhO at its relaxed geometry at the GGA+U level of DFT.

Unit cell a=5.0991 b=5.0991 c=3.6619 alpha=90.00 beta=90.00 gamma=90.00
Last column: nearest neighbours and their distance in Å.
Fractional coordinates of all 5 atoms:
Cr 0.0000 0.0000 0.0000  8 Ge 3.14
Ge 0.0000 0.5000 0.5000  2 Rh 2.55
Ge 0.5000 0.0000 0.5000  2 Rh 2.55
Rh 0.5000 0.5000 0.5000  2 O 1.83
O 0.5000 0.5000 0.0000  2 Rh 1.83

Properties
Electronic total energy, eV per cell: -27.97
SG: P4/mmm
Calculated volume, Å³/cell: 95